TbHoMnAg | PBE-GGA | optimized geometry

Results
Calculated total energy: -21.26 eV per cell

Lattice parameters (Å, degrees): 5.0894 5.0894 5.0894 60.00 60.00 60.00
With the nearest neighbours (Å) after each atom.
Element x y z (fractional)
Tb1 0.0000 0.0000 0.0000  4 Ag 3.12, 4 Mn 3.12
Ho1 0.5000 0.5000 0.5000  4 Mn 3.12, 4 Ag 3.12
Mn1 0.2500 0.2500 0.2500  4 Ho 3.12, 4 Tb 3.12
Ag1 0.7500 0.7500 0.7500  4 Ho 3.12, 4 Tb 3.12



CeTlIN | PBE-GGA | optimized geometry

Results
Raw formation energy: -1.050 eV per atom

Lattice parameters (Å, degrees): 4.2281 4.2281 12.4528 90.00 90.00 90.00
With the nearest neighbours (Å) after each atom.
Element x y z (fractional)
Ce1 0.2500 0.2500 0.0803  4 N 2.34
Ce2 0.7500 0.7500 0.9197  4 N 2.34
Tl1 0.2500 0.7500 0.5000  4 Tl 2.99
Tl2 0.7500 0.2500 0.5000  4 Tl 2.99
I1 0.2500 0.2500 0.7508  4 Ce 3.66, 4 N 3.75, 4 Tl 3.77
I2 0.7500 0.7500 0.2492  4 Ce 3.66, 4 N 3.75, 4 Tl 3.77
N1 0.2500 0.7500 0.0000  4 Ce 2.34
N2 0.7500 0.2500 0.0000  4 Ce 2.34



GaCoTc | PBE-GGA | optimized geometry

Results
Distance to the lowest polymorph of the same formula: 0 meV/atom

Lattice parameters (Å, degrees): 5.7122 5.7122 5.7122 152.65 152.65 39.06
With the nearest neighbours (Å) after each atom.
Element x y z (fractional)
Ga1 0.0000 0.0000 0.0000  4 Co 2.58, 4 Ga 2.70, 4 Tc 2.77
Co1 0.3393 0.3393 0.0000  4 Tc 2.52, 4 Ga 2.58, 4 Co 2.70
Tc1 0.6863 0.6863 0.0000  4 Co 2.52, 4 Tc 2.70, 4 Ga 2.77



LiNbCd | PBE-GGA | optimized geometry

Results
Distance to the lowest polymorph of the same formula: 117 meV/atom

Lattice parameters (Å, degrees): 7.3948 3.2473 9.6613 90.00 90.00 90.00
With the nearest neighbours (Å) after each atom.
Element x y z (fractional)
Li1 0.1324 0.2500 0.0886  5 Cd 2.91-3.08, 4 Li 3.07-3.25, 3 Nb 3.08-3.25
Li2 0.3676 0.7500 0.5886  5 Cd 2.91-3.08, 4 Li 3.07-3.25, 3 Nb 3.08-3.25
Li3 0.6324 0.2500 0.4114  5 Cd 2.91-3.08, 4 Li 3.07-3.25, 3 Nb 3.08-3.25
Li4 0.8676 0.7500 0.9114  5 Cd 2.91-3.08, 4 Li 3.07-3.25, 3 Nb 3.08-3.25
Nb1 0.0881 0.2500 0.4230  2 Nb 2.56
Nb2 0.4119 0.7500 0.9230  2 Nb 2.56
Nb3 0.5881 0.2500 0.0770  2 Nb 2.56
Nb4 0.9119 0.7500 0.5770  2 Nb 2.56
Cd1 0.1370 0.2500 0.7698  5 Li 2.91-3.08, 4 Nb 2.98-2.99, 2 Cd 3.25
Cd2 0.3630 0.7500 0.2698  5 Li 2.91-3.08, 4 Nb 2.98-2.99, 2 Cd 3.25
Cd3 0.6370 0.2500 0.7302  5 Li 2.91-3.08, 4 Nb 2.98-2.99, 2 Cd 3.25
Cd4 0.8630 0.7500 0.2302  5 Li 2.91-3.08, 4 Nb 2.98-2.99, 2 Cd 3.25



TmPuRuPt | PBE-GGA | optimized geometry

Results
Calculated total energy: -36.53 eV per cell

Lattice parameters (Å, degrees): 4.8378 4.8378 4.8378 60.00 60.00 60.00
With the nearest neighbours (Å) after each atom.
Element x y z (fractional)
Tm1 0.0000 0.0000 0.0000  4 Pt 2.96, 4 Ru 2.96
Pu1 0.5000 0.5000 0.5000  4 Ru 2.96, 4 Pt 2.96
Ru1 0.2500 0.2500 0.2500  4 Tm 2.96, 4 Pu 2.96
Pt1 0.7500 0.7500 0.7500  4 Tm 2.96, 4 Pu 2.96



GaHgSN2 | PBE-GGA | optimized geometry

Results
Raw formation energy: 1.788 eV per atom
Distance to the lowest polymorph of the same formula: 628 meV/atom

Lattice parameters (Å, degrees): 4.3331 4.3331 5.3547 90.00 90.00 90.00
With the nearest neighbours (Å) after each atom.
Element x y z (fractional)
Ga1 0.0000 0.0000 0.0000  4 S 3.06
Hg1 0.5000 0.5000 0.5000  4 N 2.17
S1 0.5000 0.5000 0.0000  2 Hg 2.68
N1 0.0000 0.5000 0.5000  2 Hg 2.17
N2 0.5000 0.0000 0.5000  2 Hg 2.17